Cs2NdHoSe4: relaxed, PBE-GGA.

Output
DFT total energy: -38.76 eV for the cell shown
formation energy without anion corrections: -1.721 eV/atom

Cell and atoms, written as CIF:
```
data_Cs2NdHoSe4
_chemical_formula_sum 'Cs2 Nd1 Ho1 Se4'
_cell_length_a 7.4990
_cell_length_b 4.3274
_cell_length_c 8.7541
_cell_angle_alpha 90.00
_cell_angle_beta 106.55
_cell_angle_gamma 90.00
_symmetry_space_group_name_H-M 'P 1 2/m 1'
_symmetry_Int_Tables_number 10
loop_
_symmetry_equiv_pos_as_xyz
'x,y,z'
'-x,-y,-z'
'-x,y,-z'
'x,-y,z'
loop_
_atom_site_label
_atom_site_fract_x
_atom_site_fract_y
_atom_site_fract_z
Cs1 0.0000 0.0000 0.0000
Cs2 0.5000 0.5000 0.0000
Nd1 0.0000 0.5000 0.5000
Ho1 0.5000 0.0000 0.5000
Se1 0.2378 0.0000 0.6891
Se2 0.2794 0.5000 0.3141
```



Cs3Nd3HoTe8: relaxed, PBE-GGA.

Output
DFT total energy: -199.64 eV for the cell shown
formation energy without anion corrections: -1.331 eV/atom

Cell and atoms, written as CIF:
```
data_Cs3Nd3HoTe8
_chemical_formula_sum 'Cs9 Nd9 Ho3 Te24'
_cell_length_a 9.0813
_cell_length_b 9.0813
_cell_length_c 27.7039
_cell_angle_alpha 90.00
_cell_angle_beta 90.00
_cell_angle_gamma 120.00
_symmetry_space_group_name_H-M 'R -3 m'
_symmetry_Int_Tables_number 166
_symmetry_space_group_name_Hall '-R 3 2"'
loop_
_atom_site_label
_atom_site_fract_x
_atom_site_fract_y
_atom_site_fract_z
Cs1 0.0000 0.5000 0.0000
Nd1 0.0000 0.5000 0.5000
Ho1 0.0000 0.0000 0.5000
Te1 0.0000 0.0000 0.2322
Te2 0.0076 0.5038 0.2304
```



> What is the formula in the first record?

Cs2NdHoSe4



> Which value of DFT total energy does entry 2 give?

-199.64 eV for the cell shown



> Number 1 is which compound?

Cs2NdHoSe4